No. 1
VASP calculation (PBE) on crystalline Y2HoSb2 at its relaxed geometry.

DOS(E_F) in states/eV/cell: 12.0
Symmetry: C2/c (15)
Uncorrected formation energy in meV/atom: -642
Crystal system: monoclinic
Uncorrected energy in eV per formula unit: -28.96

a b c (Å): 7.991 7.991 5.848
angles (deg): 111.57 111.57 96.29
Atoms (fractional coordinates):
Y1 0.222 0.917 0.539
Y2 0.417 0.722 0.039
Y3 0.778 0.083 0.461
Y4 0.583 0.278 0.961
Ho1 0.903 0.597 0.750
Ho2 0.097 0.403 0.250
Sb1 0.172 0.328 0.750
Sb2 0.370 0.130 0.250
Sb3 0.630 0.870 0.750
Sb4 0.828 0.672 0.250


No. 2
VASP calculation (PBE) on crystalline Ge2AuBr at its relaxed geometry.

DOS(E_F) in states/eV/cell: 0.6
Symmetry: I-42d (122)
Uncorrected formation energy in meV/atom: 155
Crystal system: tetragonal
Uncorrected energy in eV per formula unit: -13.57

a b c (Å): 6.121 6.121 7.663
angles (deg): 66.46 66.46 90.00
Atoms (fractional coordinates):
Ge1 0.686 0.125 0.250
Ge2 0.064 0.625 0.250
Ge3 0.375 0.314 0.750
Ge4 0.875 0.936 0.750
Au1 0.000 0.000 0.000
Au2 0.750 0.250 0.500
Br1 0.500 0.500 0.000
Br2 0.250 0.750 0.500


No. 3
VASP calculation (PBE) on crystalline SrTcHg2 at its relaxed geometry.

DOS(E_F) in states/eV/cell: 3.1
Calculated formation energy in kJ/mol of atoms: 53.7
Symmetry: R-3m (166)
Crystal system: trigonal
Uncorrected energy in eV per formula unit: -10.43

a b c (Å): 9.366 9.366 9.366
angles (deg): 22.36 22.36 22.36
Last column: magnetic moment on the atom in μB.
Atoms (fractional coordinates):
Hg1 0.011 0.011 0.011  0.00
Hg2 0.489 0.489 0.489  0.00
Sr1 0.250 0.250 0.250  -0.04
Tc1 0.750 0.750 0.750  2.33


No. 4
VASP calculation (PBE) on crystalline ZrIn2Sb at its relaxed geometry.

DOS(E_F) in states/eV/cell: 1.5
Symmetry: P4/mmm (123)
Uncorrected formation energy in meV/atom: -109
Crystal system: tetragonal
Uncorrected energy in eV per formula unit: -18.58

a b c (Å): 4.064 4.066 5.877
angles (deg): 90.00 90.00 90.00
Atoms (fractional coordinates):
In1 0.000 0.000 0.992
In2 0.000 0.000 0.508
Sb1 0.500 0.500 0.250
Zr1 0.500 0.500 0.750


No. 5
VASP calculation (PBE) on crystalline Pm2PrThBi5 at its relaxed geometry.

DOS(E_F) in states/eV/cell: 6.2
Calculated formation energy in kJ/mol of atoms: 5.2
Symmetry: P4/mmm (123)
Crystal system: tetragonal
Uncorrected energy in eV per formula unit: -40.62

a b c (Å): 5.722 5.722 12.149
angles (deg): 90.00 90.00 90.00
Atoms (fractional coordinates):
Pm1 0.500 0.500 0.270
Pm2 0.500 0.500 0.730
Pr1 0.000 0.000 0.000
Th1 0.000 0.000 0.500
Bi1 0.000 0.500 0.500
Bi2 0.500 0.000 0.500
Bi3 0.000 0.000 0.754
Bi4 0.000 0.000 0.246
Bi5 0.500 0.500 0.000


No. 6
VASP calculation (PBE) on crystalline CsCu3P at its relaxed geometry.

DOS(E_F) in states/eV/cell: 5.7
Calculated formation energy in kJ/mol of atoms: 201.9
Symmetry: Pm-3m (221)
Crystal system: cubic
Uncorrected energy in eV per formula unit: -8.09

a b c (Å): 5.190 5.190 5.190
angles (deg): 90.00 90.00 90.00
Atoms (fractional coordinates):
Cs1 0.000 0.000 0.000
P1 0.500 0.500 0.500
Cu1 0.000 0.500 0.000
Cu2 0.000 0.000 0.500
Cu3 0.500 0.000 0.000


The records above give, respectively, V values of 31.0 29.6 26.1 24.3 44.2 28.0 A^3/atom.